Ba3Li2Hg after structural relaxation. Source: Alexandria, functional PBE.

Cell lengths 11.5544, 10.7393, 8.5584 Å; angles 90.00, 106.59, 90.00 degrees
Space group C2/c (No. 15)
Unique sites:
Ba 0.0000 0.1347 0.2500
Ba 0.1767 0.4298 0.9799
Li 0.1843 0.2368 0.6269
Hg 0.0000 0.1825 0.7500

ΔH_f (0 K): -0.107 eV/atom

---

MoSeIBr2 after structural relaxation. Source: Alexandria, functional PBE.

Cell lengths 5.1957, 5.1957, 5.6064 Å; angles 90.00, 90.00, 90.00 degrees
Space group P4/mmm (No. 123)
Unique sites:
Mo 0.0000 0.0000 0.0000
Se 0.0000 0.0000 0.5000
I 0.5000 0.5000 0.0000
Br 0.0000 0.5000 0.5000

Raw formation energy: 63.6 kJ/mol of atoms
ΔE to the lowest computed polymorph: 546.2 meV per atom

---

Ordered DOS(E_F) results: 7.21, 2.92; unit states/eV/f.u..